An optimized crystal structure of AcHoAs2Pt2. Source: the Alexandria database, functional GGA-PBE.

Results
Its total magnetic moment is 0.00 Bohr magnetons per cell. As for the formation energy from the elements: -1239 meV per atom.

Unit cell a=4.384 b=4.384 c=8.036 alpha=90.00 beta=90.00 gamma=120.00
Atoms (fractional coordinates):
Ac1 0.000 0.000 0.000
Ho1 0.000 0.000 0.500
As1 0.333 0.667 0.263
As2 0.667 0.333 0.737
Pt1 0.333 0.667 0.720
Pt2 0.667 0.333 0.280